10
Lattice="3.172 1.831 5.148 -3.172 1.831 5.148 0.000 -3.663 5.148" Properties=species:S:1:pos:R:3 comment="RbTbO3 (GGA-PBE, relaxed)" e_tot_ev_per_atom=-5.943 magmom_total_mub_per_cell=4.00 space_group="R-3c (167)" pbc="T T T"
Rb 0.000 0.000 3.861
Rb 0.000 0.000 11.584
Tb 0.000 0.000 0.000
Tb 0.000 0.000 7.723
O -1.593 0.903 6.435
O -1.579 -0.928 9.010
O 0.014 -1.831 6.435
O -0.014 1.831 9.010
O 1.579 0.928 6.435
O 1.593 -0.903 9.010

10
Lattice="3.371 1.946 4.722 -3.371 1.946 4.722 0.000 -3.893 4.722" Properties=species:S:1:pos:R:3 comment="RbTbO3 (GGA-PBE, relaxed)" e_tot_ev_per_atom=-5.397 magmom_total_mub_per_cell=4.00 space_group="R-3c (167)" pbc="T T T"
Rb 0.000 0.000 0.000
Rb 0.000 0.000 7.083
Tb 0.000 0.000 3.542
Tb 0.000 0.000 10.625
O -2.315 -0.116 5.903
O -1.056 -2.063 8.264
O 1.258 -1.946 5.903
O -1.258 1.946 8.264
O 1.056 2.063 5.903
O 2.315 0.116 8.264

10
Lattice="3.272 1.889 5.329 -3.272 1.889 5.329 0.000 -3.779 5.329" Properties=species:S:1:pos:R:3 comment="RbTbO3 (GGA-PBE, relaxed)" e_tot_ev_per_atom=-5.937 magmom_total_mub_per_cell=4.00 space_group="R-3 (148)" pbc="T T T"
Rb 0.000 0.000 1.928
Rb 0.000 0.000 14.058
Tb 0.000 0.000 5.570
Tb 0.000 0.000 10.416
O -1.628 -1.208 6.475
O -1.860 0.806 9.511
O 0.232 -2.014 9.511
O -0.232 2.014 6.475
O 1.860 -0.806 6.475
O 1.628 1.208 9.511

5
Lattice="3.321 0.000 0.000 0.000 3.321 0.000 0.000 0.000 6.850" Properties=species:S:1:pos:R:3 comment="RbTbO3 (GGA-PBE, relaxed)" e_tot_ev_per_atom=-5.684 magmom_total_mub_per_cell=0.02 space_group="P4mm (99)" pbc="T T T"
Rb 0.000 0.000 0.000
Tb 1.660 1.660 3.553
O 0.000 0.000 4.303
O 0.000 1.660 1.981
O 1.660 0.000 1.981

5
Lattice="4.432 0.000 0.000 0.000 4.432 0.000 0.000 0.000 4.448" Properties=species:S:1:pos:R:3 comment="RbTbO3 (GGA-PBE, relaxed)" e_tot_ev_per_atom=-5.933 magmom_total_mub_per_cell=2.00 space_group="P4mm (99)" pbc="T T T"
Rb 0.000 0.000 0.000
Tb 2.216 2.216 2.227
O 0.000 2.216 2.266
O 2.216 0.000 2.266
O 2.216 2.216 0.004

20
Lattice="6.336 0.000 0.000 0.000 8.962 0.000 0.000 0.000 6.324" Properties=species:S:1:pos:R:3 comment="RbTbO3 (GGA-PBE, relaxed)" e_tot_ev_per_atom=-5.943 magmom_total_mub_per_cell=7.99 space_group="Pnma (62)" pbc="T T T"
Rb 6.335 2.241 6.322
Rb 0.001 6.722 0.002
Rb 3.167 2.241 3.164
Rb 3.169 6.722 3.160
Tb 0.000 0.000 3.162
Tb 0.000 4.481 3.162
Tb 3.168 0.000 0.000
Tb 3.168 4.481 0.000
O 6.334 2.241 3.119
O 0.002 6.722 3.205
O 1.546 0.031 4.781
O 1.546 4.450 4.781
O 1.622 4.512 1.619
O 1.622 8.931 1.619
O 3.166 2.241 0.043
O 3.170 6.722 6.281
O 4.714 0.031 4.705
O 4.714 4.450 4.705
O 4.790 4.512 1.543
O 4.790 8.931 1.543

8
Lattice="3.452 0.000 0.000 -1.726 2.990 0.000 0.000 0.000 12.914" Properties=species:S:1:pos:R:3 comment="Rb2TbTmO4 (GGA-PBE, relaxed)" e_tot_ev_per_atom=-6.563 magmom_total_mub_per_cell=0.00 space_group="P-3m1 (164)" pbc="T T T"
Rb 0.000 1.993 3.214
Rb 1.726 0.997 9.699
Tb 0.000 0.000 6.457
Tm 0.000 0.000 0.000
O 0.000 1.993 7.636
O 0.000 1.993 11.794
O 1.726 0.997 1.120
O 1.726 0.997 5.278

8
Lattice="3.483 0.000 0.000 -1.742 3.017 0.000 0.000 0.000 12.921" Properties=species:S:1:pos:R:3 comment="Rb2TbYO4 (GGA-PBE, relaxed)" e_tot_ev_per_atom=-6.781 magmom_total_mub_per_cell=0.00 space_group="P-3m1 (164)" pbc="T T T"
Rb 0.000 2.011 3.228
Rb 1.742 1.006 9.693
Tb 0.000 0.000 6.460
Y 0.000 0.000 0.000
O 0.000 2.011 7.628
O 0.000 2.011 11.759
O 1.742 1.006 1.162
O 1.742 1.006 5.293

Repeat the sixth record exactly.
20
Lattice="6.336 0.000 0.000 0.000 8.962 0.000 0.000 0.000 6.324" Properties=species:S:1:pos:R:3 comment="RbTbO3 (GGA-PBE, relaxed)" e_tot_ev_per_atom=-5.943 magmom_total_mub_per_cell=7.99 space_group="Pnma (62)" pbc="T T T"
Rb 6.335 2.241 6.322
Rb 0.001 6.722 0.002
Rb 3.167 2.241 3.164
Rb 3.169 6.722 3.160
Tb 0.000 0.000 3.162
Tb 0.000 4.481 3.162
Tb 3.168 0.000 0.000
Tb 3.168 4.481 0.000
O 6.334 2.241 3.119
O 0.002 6.722 3.205
O 1.546 0.031 4.781
O 1.546 4.450 4.781
O 1.622 4.512 1.619
O 1.622 8.931 1.619
O 3.166 2.241 0.043
O 3.170 6.722 6.281
O 4.714 0.031 4.705
O 4.714 4.450 4.705
O 4.790 4.512 1.543
O 4.790 8.931 1.543